Entry 1:
! RbNa2MgAs, relaxed, DFT GGA-PBE; values from VASP
&SYSTEM
  ibrav = 0, nat = 5, ntyp = 4
/
ATOMIC_SPECIES
Rb 85.47 Rb.upf
Na 22.99 Na.upf
Mg 24.30 Mg.upf
As 74.92 As.upf
ATOMIC_POSITIONS crystal
Rb 0.000 0.000 0.000
Na 0.000 0.500 0.500
Na 0.500 0.000 0.500
Mg 0.500 0.500 0.000
As 0.500 0.500 0.500
CELL_PARAMETERS angstrom
5.851 0.000 0.000
0.000 5.851 0.000
0.000 0.000 5.384
! - ΔH_f (0 K): -0.8 eV/f.u.
! - Space-group type: P4/mmm (123)

---

Entry 2:
! NaMgAsRu2, relaxed, DFT GGA-PBE; values from VASP
&SYSTEM
  ibrav = 0, nat = 5, ntyp = 4
/
ATOMIC_SPECIES
Na 22.99 Na.upf
Mg 24.30 Mg.upf
As 74.92 As.upf
Ru 101.07 Ru.upf
ATOMIC_POSITIONS crystal
Na 0.000 0.000 0.000
Mg 0.500 0.500 0.000
As 0.500 0.500 0.500
Ru 0.000 0.500 0.500
Ru 0.500 0.000 0.500
CELL_PARAMETERS angstrom
4.619 0.000 0.000
0.000 4.619 0.000
0.000 0.000 4.944
! - ΔH_f (0 K): 2.6 eV/f.u.
! - Space-group type: P4/mmm (123)

---

Entry 3:
! NaMgAsSe3, relaxed, DFT GGA-PBE; values from VASP
&SYSTEM
  ibrav = 0, nat = 12, ntyp = 4
/
ATOMIC_SPECIES
Na 22.99 Na.upf
Mg 24.30 Mg.upf
As 74.92 As.upf
Se 78.96 Se.upf
ATOMIC_POSITIONS crystal
Na 0.230 0.250 0.212
Na 0.770 0.750 0.788
Mg 0.341 0.750 0.910
Mg 0.659 0.250 0.090
As 0.132 0.250 0.640
As 0.868 0.750 0.360
Se 0.077 0.250 0.865
Se 0.186 0.750 0.474
Se 0.485 0.750 0.171
Se 0.515 0.250 0.829
Se 0.814 0.250 0.526
Se 0.923 0.750 0.135
CELL_PARAMETERS angstrom
7.981 0.000 0.000
0.000 3.995 0.000
-3.068 0.000 9.981
! - ΔE_f (raw): -0.664 eV per atom
! - Space-group type: P2_1/m (11)

---

Entry 4:
! NaMgAsSe2, relaxed, DFT GGA-PBE; values from VASP
&SYSTEM
  ibrav = 0, nat = 5, ntyp = 4
/
ATOMIC_SPECIES
Na 22.99 Na.upf
Mg 24.30 Mg.upf
As 74.92 As.upf
Se 78.96 Se.upf
ATOMIC_POSITIONS crystal
Na 0.000 0.000 0.000
Mg 0.500 0.500 0.500
As 0.000 0.000 0.500
Se 0.000 0.500 0.000
Se 0.500 0.000 0.000
CELL_PARAMETERS angstrom
5.154 0.000 0.000
0.000 5.154 0.000
0.000 0.000 4.933
! - ΔE_f (raw): 0.491 eV per atom
! - Energy relative to the lowest polymorph listed for this composition: 594.5 meV/atom
! - Space-group type: P4/mmm (123)